No. 1
A relaxed Mn2TcI2 crystal. Source: Alexandria via LeMat-Bulk, functional PBE.

a b c (Å): 6.6460 6.6460 3.9683
angles (deg): 90.00 90.00 90.00
Fractional positions:
Mn (0.1119, 0.3881, 0.0000)
Mn (0.3881, 0.8881, 0.0000)
Mn (0.6119, 0.1119, 0.0000)
Mn (0.8881, 0.6119, 0.0000)
Tc (0.0000, 0.0000, 0.0000)
Tc (0.5000, 0.5000, 0.0000)
I (0.1852, 0.6852, 0.5000)
I (0.3148, 0.1852, 0.5000)
I (0.6852, 0.8148, 0.5000)
I (0.8148, 0.3148, 0.5000)

Summary:
Its formation energy (no corrections) is 1.171 eV per atom. The total energy comes out at -5.19 eV/atom. As for the energy above the most stable polymorph in this dataset: 35 meV per atom.

No. 2
A relaxed La3Pr2Nd crystal. Source: Alexandria via LeMat-Bulk, functional PBE.

a b c (Å): 7.4318 7.4318 9.1172
angles (deg): 90.00 90.00 120.00
Fractional positions:
La (0.1663, 0.3325, 0.3338)
La (0.1663, 0.8337, 0.3338)
La (0.3325, 0.1663, 0.6662)
La (0.6675, 0.8337, 0.3338)
La (0.8337, 0.1663, 0.6662)
La (0.8337, 0.6675, 0.6662)
Pr (0.0000, 0.0000, 0.0000)
Pr (0.0000, 0.5000, 0.0000)
Pr (0.5000, 0.0000, 0.0000)
Pr (0.5000, 0.5000, 0.0000)
Nd (0.3333, 0.6667, 0.6673)
Nd (0.6667, 0.3333, 0.3327)

Summary:
The total energy comes out at -4.84 eV/atom. The calculation puts the calculated formation energy at 8.6 meV per atom. As for the energy above the most stable polymorph in this dataset: 0 meV per atom.